No. 1
# Rb2LiAcBr6, optimized geometry, DFT GGA-PBE
# Uncorrected formation energy = -1.82 eV per atom
# Calculated total energy = -3.6191 eV/atom
# Total moment = 0.000 μB per atom
# Fermi-level density of states = 0.00 states/eV/f.u.
data_Rb2LiAcBr6
_cell_length_a 7.969
_cell_length_b 8.239
_cell_length_c 13.765
_cell_angle_alpha 90.00
_cell_angle_beta 124.77
_cell_angle_gamma 90.00
_symmetry_space_group_name_H-M 'P 1 21/c 1'
_symmetry_Int_Tables_number 14
loop_
_symmetry_equiv_pos_as_xyz
'x,y,z'
'-x,-y,-z'
'-x,y+1/2,-z+1/2'
'x,-y+1/2,z+1/2'
loop_
_atom_site_label
_atom_site_type_symbol
_atom_site_fract_x
_atom_site_fract_y
_atom_site_fract_z
Rb1 Rb 0.230 0.060 0.248
Li1 Li 0.000 0.000 0.500
Ac1 Ac 0.500 0.000 0.000
Br1 Br 0.153 0.213 0.956
Br2 Br 0.246 0.700 0.959
Br3 Br 0.321 0.019 0.738

***

No. 2
# Li2Ac2S3Br2, optimized geometry, DFT GGA-PBE
# Uncorrected formation energy = -1.81 eV per atom
# Calculated total energy = -4.8917 eV/atom
# Total moment = 0.000 μB per atom
# Fermi-level density of states = 0.00 states/eV/f.u.
data_Li2Ac2S3Br2
_cell_length_a 4.911
_cell_length_b 4.911
_cell_length_c 19.002
_cell_angle_alpha 90.00
_cell_angle_beta 90.00
_cell_angle_gamma 90.00
_symmetry_space_group_name_H-M 'I 4/m m m'
_symmetry_Int_Tables_number 139
_symmetry_space_group_name_Hall '-I 4 2'
loop_
_atom_site_label
_atom_site_type_symbol
_atom_site_fract_x
_atom_site_fract_y
_atom_site_fract_z
Li1 Li 0.000 0.500 0.000
Ac1 Ac 0.000 0.000 0.168
S1 S 0.000 0.000 0.000
S2 S 0.000 0.500 0.250
Br1 Br 0.000 0.000 0.404

***

No. 3
# LiAcSeBr, optimized geometry, DFT GGA-PBE
# Uncorrected formation energy = -1.53 eV per atom
# Calculated total energy = -4.3251 eV/atom
# Total moment = 0.000 μB per atom
# Fermi-level density of states = 2.16 states/eV/f.u.
data_LiAcSeBr
_cell_length_a 4.2777
_cell_length_b 4.2777
_cell_length_c 45.2635
_cell_angle_alpha 90.00
_cell_angle_beta 90.00
_cell_angle_gamma 120.00
_symmetry_space_group_name_H-M 'R -3 m'
_symmetry_Int_Tables_number 166
_symmetry_space_group_name_Hall '-R 3 2"'
loop_
_atom_site_label
_atom_site_type_symbol
_atom_site_fract_x
_atom_site_fract_y
_atom_site_fract_z
Li1 Li 0.0000 0.0000 0.1875
Ac1 Ac 0.0000 0.0000 0.4182
Se1 Se 0.0000 0.0000 0.1291
Br1 Br 0.0000 0.0000 0.2922

***

No. 4
# LiAcTeBr, optimized geometry, DFT GGA-PBE
# Uncorrected formation energy = -1.15 eV per atom
# Calculated total energy = -3.8605 eV/atom
# Total moment = 0.134 μB per atom
# Fermi-level density of states = 3.04 states/eV/f.u.
data_LiAcTeBr
_cell_length_a 7.802
_cell_length_b 7.802
_cell_length_c 7.802
_cell_angle_alpha 90.00
_cell_angle_beta 90.00
_cell_angle_gamma 90.00
_symmetry_space_group_name_H-M 'F -4 3 m'
_symmetry_Int_Tables_number 216
_symmetry_space_group_name_Hall 'F -4 2 3'
loop_
_atom_site_label
_atom_site_type_symbol
_atom_site_fract_x
_atom_site_fract_y
_atom_site_fract_z
Li1 Li 0.000 0.000 0.000
Ac1 Ac 0.000 0.000 0.500
Te1 Te 0.250 0.250 0.250
Br1 Br 0.250 0.250 0.750